ZrTa2Zn, optimized geometry, DFT PBE; DFT formation energy = 0.395 eV/f.u.; total DFT energy (no corrections) = -33.1 eV per cell; theoretical density = 11736 kg/m3; calculated volume = 73.4 Å³/cell; magnetization = 0.000 μB per formula unit
1.0
0.0000 3.3227 3.3227
3.3227 0.0000 3.3227
3.3227 3.3227 0.0000
Ta Zn Zr
2 1 1
Cartesian
0.0000 0.0000 0.0000
1.6613 1.6613 1.6613
3.3227 3.3227 3.3227
4.9840 4.9840 4.9840